# 1
First-principles (PBE) data for a relaxed YSiO2 crystal, as listed in Alexandria.

Unit cell a=4.8140 b=4.8140 c=11.7325 alpha=90.00 beta=90.00 gamma=90.00
Closest atoms and distances in Å follow each position.
Space group I-42d (No. 122)
Asymmetric unit:
Y: 0.0000 0.0000 0.0000  4 O 2.22
Si: 0.0000 0.0000 0.5000  4 O 2.28
O: 0.2380 0.2500 0.1250  2 Y 2.22, 2 Si 2.28

calculated volume = 17.0 A^3/atom
calculated total energy = -7.03 eV/atom
uncorrected formation energy = -1.5774 eV/atom
DOS(E_F) = 0.425 states/eV/atom



# 2
First-principles (PBE) data for a relaxed Ba2Mg2Bi crystal, as listed in Alexandria.

Unit cell a=8.2368 b=8.2368 c=5.5717 alpha=90.00 beta=90.00 gamma=90.00
Closest atoms and distances in Å follow each position.
Space group P4/mbm (No. 127)
Asymmetric unit:
Ba: 0.1793 0.3207 0.0000  6 Mg 3.60-3.78
Mg: 0.1253 0.6253 0.5000  1 Mg 2.92, 2 Bi 3.25
Bi: 0.0000 0.0000 0.5000  4 Mg 3.25

calculated volume = 37.8 A^3/atom
calculated total energy = -2.46 eV/atom
ΔE_f = -276 meV per atom
DOS(E_F) = 1.141 states/eV/atom